Computed, not measured: a geometry-optimized SbRhO4 structure at the PBE-GGA level of DFT.

Cell and atoms, written as extended XYZ:
```
12
Lattice="5.664 0.000 0.000 0.000 4.657 0.000 -2.193 0.000 5.279" Properties=species:S:1:pos:R:3 pbc="T T T"
Sb 0.000 0.000 0.000
Sb -1.096 2.328 2.639
Rh 1.736 0.000 2.639
Rh 2.832 2.328 0.000
O 0.179 0.989 1.758
O -0.917 1.339 4.398
O 0.412 3.335 3.496
O 1.508 3.650 0.856
O 1.963 1.006 4.423
O 3.059 1.322 1.783
O 4.388 3.318 0.881
O 3.292 3.668 3.520
```

space-group type = P2_1/c, No. 14
uncorrected formation energy = -1.09 eV/atom
final energy = -75.75 eV for the cell shown

=====

Computed, not measured: a geometry-optimized Sb2RhO structure at the PBE-GGA level of DFT.

Cell and atoms, written as extended XYZ:
```
8
Lattice="-2.716 2.716 5.896 2.716 -2.716 5.896 2.716 2.716 -5.896" Properties=species:S:1:pos:R:3 pbc="T T T"
Sb 4.073 1.152 -1.474
Sb 1.152 1.358 1.474
Sb -1.358 1.563 4.422
Sb 1.563 1.358 7.370
Rh 2.716 0.000 2.948
Rh 0.000 0.000 5.896
O 0.000 0.000 0.000
O 0.000 2.716 2.948
```

space-group type = I-42d, No. 122
uncorrected formation energy = -0.32 eV/atom
final energy = -43.68 eV for the cell shown